Record 1
A PBEsol-optimized structure of Ba2OsPb. Source: Alexandria via LeMat-Bulk, functional meta-GGA SCAN.

As for the total magnetization: 0.51 μB per formula unit. As for the calculated formation energy: 0.394 eV per atom.

Unit cell a=3.646 b=3.646 c=9.751 alpha=90.00 beta=90.00 gamma=90.00
Space group P4mm (No. 99)
Unique sites:
Ba1 0.000 0.000 0.000 x1
Ba2 0.500 0.500 0.412 x1
Os1 0.000 0.000 0.633 x1
Pb1 0.500 0.500 0.756 x1

Record 2
A PBEsol-optimized structure of Ba2OsPd. Source: Alexandria via LeMat-Bulk, functional meta-GGA SCAN.

As for the total magnetization: 0.00 μB per formula unit. As for the calculated formation energy: 0.590 eV per atom.

Unit cell a=7.452 b=7.452 c=7.452 alpha=90.00 beta=90.00 gamma=90.00
Space group Fm-3m (No. 225)
Unique sites:
Ba1 0.250 0.250 0.250 x8
Os1 0.000 0.000 0.000 x4
Pd1 0.000 0.000 0.500 x4

Record 3
A PBEsol-optimized structure of BaOsPdSe2. Source: Alexandria via LeMat-Bulk, functional meta-GGA SCAN.

The raw formation energy is 0.74 eV/atom. As for the total magnetization: 3.77 μB per formula unit.

Unit cell a=4.874 b=4.874 c=5.646 alpha=90.00 beta=90.00 gamma=90.00
Space group P4/mmm (No. 123)
Unique sites:
Ba1 0.000 0.000 0.000 x1
Os1 0.500 0.500 0.000 x1
Pd1 0.000 0.000 0.500 x1
Se1 0.000 0.500 0.500 x2

Record 4
A PBEsol-optimized structure of BaTlOsPd2. Source: Alexandria via LeMat-Bulk, functional meta-GGA SCAN.

As for the total magnetization: 0.93 μB per formula unit. As for the calculated formation energy: 1.858 eV per atom.

Unit cell a=5.195 b=5.195 c=5.179 alpha=90.00 beta=90.00 gamma=90.00
Space group P4/mmm (No. 123)
Unique sites:
Ba1 0.000 0.000 0.000 x1
Tl1 0.500 0.500 0.500 x1
Os1 0.000 0.000 0.500 x1
Pd1 0.000 0.500 0.000 x2

no.,final energy (eV per atom)
1,-56.30
2,-45.35
3,-36.13
4,-48.01